TlCdTe2 after structural relaxation, computed with PBE.

Properties
symmetry: Pmmm (47)
ΔE_f (raw): 0.0123 eV per atom

POSCAR file:
```
TlCdTe2
1.0
-2.807 -1.416 2.333
2.892 -4.065 1.013
2.434 2.901 4.691
Te Cd Tl
2 1 1
direct
0.000 0.000 0.000
0.500 0.500 0.000
0.000 0.500 0.500
0.500 0.000 0.500
```

=====

Tl2CdTe after structural relaxation, computed with PBE.

Properties
symmetry: R3m (160)
ΔE_f (raw): -0.0980 eV per atom
energy above the most stable polymorph in this dataset: 26 meV/atom

POSCAR file:
```
Tl2CdTe
1.0
-4.604 -0.247 1.203
-2.003 -4.228 0.904
-0.380 -0.836 7.807
Cd Tl Te
1 2 1
direct
0.671 0.671 0.988
0.247 0.247 0.260
0.083 0.083 0.751
0.500 0.500 0.501
```

=====

Tl2Cd2Te after structural relaxation, computed with PBE.

Properties
symmetry: P4/mbm (127)
ΔE_f (raw): -0.0663 eV per atom
energy above the most stable polymorph in this dataset: 0 meV/atom

POSCAR file:
```
Tl2Cd2Te
1.0
-3.855 -3.740 5.807
6.543 0.155 4.443
-1.350 4.249 1.840
Te Tl Cd
2 4 4
direct
0.000 0.000 0.000
0.500 0.500 0.000
0.826 0.326 0.500
0.174 0.674 0.500
0.326 0.174 0.500
0.674 0.826 0.500
0.871 0.629 0.000
0.629 0.129 0.000
0.129 0.371 0.000
0.371 0.871 0.000
```

=====

TlCdTe2 after structural relaxation, computed with PBE.

Properties
symmetry: I-42d (122)
ΔE_f (raw): -0.2434 eV per atom

POSCAR file:
```
TlCdTe2
1.0
6.900 0.000 0.000
0.000 6.900 0.000
3.450 3.450 6.887
Cd Te Tl
2 4 2
direct
0.500 0.500 0.000
0.250 0.750 0.500
0.875 0.848 0.750
0.598 0.125 0.250
0.375 0.402 0.750
0.152 0.625 0.250
0.750 0.250 0.500
0.000 0.000 0.000
```

=====

Tl2CdTe after structural relaxation, computed with PBE.

Properties
symmetry: Fm-3m (225)
ΔE_f (raw): -0.1076 eV per atom
energy above the most stable polymorph in this dataset: 17 meV/atom

POSCAR file:
```
Tl2CdTe
1.0
-2.273 -2.660 4.496
-4.930 1.823 2.196
-4.724 -3.121 -0.626
Tl Cd Te
2 1 1
direct
0.250 0.250 0.250
0.750 0.750 0.750
0.000 0.000 0.000
0.500 0.500 0.500
```

=====

TlCd2Te2 after structural relaxation, computed with PBE.

Properties
symmetry: I4/mmm (139)
ΔE_f (raw): -0.1767 eV per atom
energy above the most stable polymorph in this dataset: 0 meV/atom

POSCAR file:
```
TlCd2Te2
1.0
-2.117 -1.032 -3.867
2.099 -4.011 -0.079
-5.864 -5.666 2.072
Tl Cd Te
1 2 2
direct
0.000 0.000 0.000
0.750 0.250 0.500
0.250 0.750 0.500
0.380 0.380 0.241
0.620 0.620 0.759
```

=====

no.,DFT total energy (eV for the cell shown)
1,-9.52
2,-9.18
3,-20.07
4,-21.08
5,-9.22
6,-11.36